No. 1
Density functional theory data (PBE-GGA) for a geometry-optimized PmDyCO structure.

Unit cell a=3.5955 b=3.5955 c=6.2014 alpha=73.15 beta=73.15 gamma=60.00
Closest atoms and distances in Å follow each position.
Fractional coordinates of all 4 atoms:
Dy: 0.4431 0.4431 0.6708  3 O 2.50, 3 C 2.51
O: 0.1893 0.1893 0.4322  3 Dy 2.50, 3 Pm 2.63
C: 0.6964 0.6964 0.9108  3 Dy 2.51, 3 Pm 2.52
Pm: 0.9477 0.9477 0.1568  3 C 2.52, 3 O 2.63

Computed properties:
space group = R3m
ρ = 8.516 g/cm3
formation energy without anion corrections = -1.612 eV per atom


No. 2
Density functional theory data (PBE-GGA) for a geometry-optimized NaLi4Au5 structure.

Unit cell a=3.1694 b=3.1694 c=16.4307 alpha=90.00 beta=90.00 gamma=90.00
Closest atoms and distances in Å follow each position.
Fractional coordinates of all 10 atoms:
Li: 0.0000 0.0000 0.5933  8 Au 2.70-2.72
Li: 0.0000 0.0000 0.4067  8 Au 2.70-2.72
Li: 0.0000 0.0000 0.7809  8 Au 2.68-2.74
Li: 0.0000 0.0000 0.2191  8 Au 2.68-2.74
Na: 0.0000 0.0000 0.0000  8 Au 3.09, 4 Na 3.17
Au: 0.5000 0.5000 0.8706  4 Li 2.68
Au: 0.5000 0.5000 0.6848  8 Li 2.70-2.74
Au: 0.5000 0.5000 0.3152  8 Li 2.70-2.74
Au: 0.5000 0.5000 0.1294  4 Li 2.68
Au: 0.5000 0.5000 0.5000  8 Li 2.72, 2 Au 3.04

Computed properties:
E_form = -484 meV per atom
space group = P4/mmm
ρ = 10.419 g/cm3


No. 3
Density functional theory data (PBE-GGA) for a geometry-optimized Ac2ScPd9 structure.

Unit cell a=4.2614 b=4.2614 c=12.4015 alpha=90.00 beta=90.00 gamma=90.00
Closest atoms and distances in Å follow each position.
Fractional coordinates of all 12 atoms:
Pd: 0.5000 0.0000 0.5000  8 Pd 3.01-3.04, 4 Ac 3.05
Pd: 0.0000 0.5000 0.8526  2 Sc 2.81, 8 Pd 2.81-3.06, 2 Ac 3.05
Pd: 0.5000 0.5000 0.3246  4 Ac 3.01, 8 Pd 3.04-3.06
Pd: 0.5000 0.0000 0.8526  2 Sc 2.81, 8 Pd 2.81-3.06, 2 Ac 3.05
Pd: 0.0000 0.5000 0.1474  8 Pd 2.81-3.06, 2 Sc 2.81, 2 Ac 3.05
Pd: 0.5000 0.0000 0.1474  8 Pd 2.81-3.06, 2 Sc 2.81, 2 Ac 3.05
Pd: 0.0000 0.5000 0.5000  8 Pd 3.01-3.04, 4 Ac 3.05
Pd: 0.5000 0.5000 0.6754  4 Ac 3.01, 8 Pd 3.04-3.06
Pd: 0.5000 0.5000 0.0000  8 Pd 2.81, 4 Sc 3.01
Sc: 0.0000 0.0000 0.0000  12 Pd 2.81-3.01
Ac: 0.0000 0.0000 0.3236  12 Pd 3.01-3.05
Ac: 0.0000 0.0000 0.6764  12 Pd 3.01-3.05

Computed properties:
E_form = -748 meV per atom
space group = P4/mmm
ρ = 10.741 g/cm3


No. 4
Density functional theory data (PBE-GGA) for a geometry-optimized TmSc2ZnAu4 structure.

Unit cell a=4.7654 b=4.7654 c=8.4360 alpha=73.59 beta=73.59 gamma=60.00
Closest atoms and distances in Å follow each position.
Fractional coordinates of all 8 atoms:
Tm: 0.0000 0.0000 0.0000  8 Au 2.94-2.98
Sc: 0.7572 0.7572 0.7285  7 Au 2.86-2.93
Sc: 0.2428 0.2428 0.2715  7 Au 2.86-2.93
Au: 0.6183 0.6183 0.1451  1 Zn 2.83, 3 Sc 2.93, 3 Tm 2.98
Au: 0.3817 0.3817 0.8549  1 Zn 2.83, 3 Sc 2.93, 3 Tm 2.98
Au: 0.1230 0.1230 0.6311  4 Sc 2.86-2.87, 1 Tm 2.94, 3 Zn 2.94
Au: 0.8770 0.8770 0.3689  4 Sc 2.86-2.87, 1 Tm 2.94, 3 Zn 2.94
Zn: 0.5000 0.5000 0.5000  8 Au 2.83-2.94

Computed properties:
E_form = -706 meV per atom
space group = R-3m
ρ = 11.775 g/cm3


No. 5
Density functional theory data (PBE-GGA) for a geometry-optimized NdHoIrO6 structure.

Unit cell a=5.5192 b=5.5192 c=9.9686 alpha=90.00 beta=90.00 gamma=120.00
Closest atoms and distances in Å follow each position.
Fractional coordinates of all 18 atoms:
O: 0.3747 0.3352 0.3613  1 Ir 1.96
O: 0.6648 0.0395 0.3613  1 Ir 1.96
O: 0.0395 0.3747 0.6387  1 Ir 1.96
O: 0.3352 0.3747 0.8613  1 Ir 1.96
O: 0.9605 0.6253 0.3613  1 Ir 1.96
O: 0.6253 0.9605 0.8613  1 Ir 1.96
O: 0.0395 0.6648 0.8613  1 Ir 1.96
O: 0.6648 0.6253 0.1387  1 Ir 1.96
O: 0.6253 0.6648 0.6387  1 Ir 1.96
O: 0.3747 0.0395 0.1387  1 Ir 1.96
O: 0.9605 0.3352 0.1387  1 Ir 1.96
O: 0.3352 0.9605 0.6387  1 Ir 1.96
Nd: 0.0000 0.0000 0.0000  6 O 2.41
Nd: 0.0000 0.0000 0.5000  6 O 2.41
Ir: 0.3333 0.6667 0.7500  6 O 1.96
Ir: 0.6667 0.3333 0.2500  6 O 1.96
Ho: 0.6667 0.3333 0.7500  6 O 2.25
Ho: 0.3333 0.6667 0.2500  6 O 2.25

Computed properties:
space group = P-31c
ρ = 7.544 g/cm3
formation energy without anion corrections = -2.184 eV per atom


No. 6
Density functional theory data (PBE-GGA) for a geometry-optimized CsSrCd3 structure.

Unit cell a=6.4603 b=6.4603 c=6.4603 alpha=90.00 beta=90.00 gamma=90.00
Closest atoms and distances in Å follow each position.
Fractional coordinates of all 5 atoms:
Cs: 0.0000 0.0000 0.0000  6 Cd 3.23
Sr: 0.5000 0.5000 0.5000  12 Cd 4.57
Cd: 0.0000 0.5000 0.0000  2 Cs 3.23
Cd: 0.0000 0.0000 0.5000  2 Cs 3.23
Cd: 0.5000 0.0000 0.0000  2 Cs 3.23

Computed properties:
E_form = 476 meV per atom
space group = Pm-3m
ρ = 3.435 g/cm3


Number 1: magnetization 0.00 μB/cell. Number 2: magnetization 0.00 μB/cell. Number 3: magnetization 0.00 μB/cell. Number 4: magnetization 0.00 μB/cell. Number 5: magnetization 5.91 μB/cell. Number 6: magnetization 0.00 μB/cell.